Crystalline Sr2CoSbH at its relaxed geometry, computed with GGA-PBE.

magnetic moment: 1.54 μB per formula unit
DOS(E_F): 3.45 states/eV/cell
uncorrected energy: -3.5624 eV/atom

a = 5.417 Å, b = 5.417 Å, c = 4.191 Å
α = 90.00°, β = 90.00°, γ = 90.00°
Space group P4/mmm (No. 123)
Asymmetric unit:
Sr1 0.000 0.500 0.000
Co1 0.000 0.000 0.500
Sb1 0.500 0.500 0.500
H1 0.500 0.500 0.000

---

Crystalline NdCoSb at its relaxed geometry, computed with GGA-PBE.

magnetic moment: 1.49 μB per formula unit
raw formation energy: -0.4624 eV per atom
DOS(E_F): 10.06 states/eV/cell

a = 10.872 Å, b = 4.360 Å, c = 6.475 Å
α = 90.00°, β = 100.80°, γ = 90.00°
Space group C2/m (No. 12)
Asymmetric unit:
Nd1 0.116 0.000 0.258
Co1 0.093 0.500 0.940
Sb1 0.176 0.000 0.774

---

Crystalline KCd6Au2 at its relaxed geometry, computed with GGA-PBE.

formation energy from the elements: 59 meV per atom
magnetic moment: 0.00 μB per formula unit
DOS(E_F): 30.98 states/eV/cell
polymorph energy (0 for the lowest one): 178.5 meV per atom

a = 13.373 Å, b = 13.373 Å, c = 13.373 Å
α = 90.00°, β = 90.00°, γ = 90.00°
Space group Fd-3m (No. 227, origin choice 2)
Asymmetric unit:
K1 0.125 0.125 0.125
Cd1 0.103 0.375 0.875
Au1 0.000 0.000 0.500